1.
Material: Dy6GeSe12
Method: DFT, PBE
State: relaxed

a = 8.0987 Å, b = 8.0987 Å, c = 8.0987 Å
α = 98.54°, β = 98.54°, γ = 98.54°
Closest atoms and distances in Å follow each position.
Fractional positions:
Dy: 0.1381 0.6356 0.8158  7 Se 2.84-3.06
Dy: 0.1842 0.8619 0.3644  7 Se 2.84-3.06
Dy: 0.3644 0.1842 0.8619  7 Se 2.84-3.06
Dy: 0.6356 0.8158 0.1381  7 Se 2.84-3.06
Dy: 0.8158 0.1381 0.6356  7 Se 2.84-3.06
Dy: 0.8619 0.3644 0.1842  7 Se 2.84-3.06
Ge: 0.5000 0.5000 0.5000  6 Se 2.66
Se: 0.0705 0.3178 0.9231  4 Dy 2.84-2.91
Se: 0.0769 0.9295 0.6822  4 Dy 2.84-2.91
Se: 0.1720 0.5202 0.4568  1 Ge 2.66, 1 Se 2.96, 1 Dy 2.96
Se: 0.3178 0.9231 0.0705  4 Dy 2.84-2.91
Se: 0.4568 0.1720 0.5202  1 Ge 2.66, 1 Se 2.96, 1 Dy 2.96
Se: 0.4798 0.5432 0.8280  1 Ge 2.66, 1 Se 2.96, 1 Dy 2.96
Se: 0.5202 0.4568 0.1720  1 Ge 2.66, 1 Se 2.96, 1 Dy 2.96
Se: 0.5432 0.8280 0.4798  1 Ge 2.66, 1 Se 2.96, 1 Dy 2.96
Se: 0.6822 0.0769 0.9295  4 Dy 2.84-2.91
Se: 0.8280 0.4798 0.5432  1 Ge 2.66, 1 Se 2.96, 1 Dy 2.96
Se: 0.9231 0.0705 0.3178  4 Dy 2.84-2.91
Se: 0.9295 0.6822 0.0769  4 Dy 2.84-2.91

M_tot	0.000	μB per atom
ρ	6.5	g/cm3
formation energy without anion corrections	-32.62	kcal/mol of atoms

---

2.
Material: DyGeSe2
Method: DFT, PBE
State: relaxed

a = 6.8097 Å, b = 6.8097 Å, c = 6.8097 Å
α = 36.00°, β = 36.00°, γ = 36.00°
Closest atoms and distances in Å follow each position.
Fractional positions:
Dy: 0.0000 0.0000 0.0000  6 Se 2.93
Ge: 0.5000 0.5000 0.5000  6 Se 2.88
Se: 0.2475 0.2475 0.2475  3 Ge 2.88, 3 Dy 2.93
Se: 0.7525 0.7525 0.7525  3 Ge 2.88, 3 Dy 2.93

M_tot	0.000	μB per atom
ρ	6.7	g/cm3
formation energy without anion corrections	-20.19	kcal/mol of atoms

---

3.
Material: Dy5GeSe5
Method: DFT, PBE
State: relaxed

a = 7.1010 Å, b = 7.1010 Å, c = 8.1704 Å
α = 106.71°, β = 106.71°, γ = 47.96°
Closest atoms and distances in Å follow each position.
Fractional positions:
Dy: 0.0000 0.0000 0.0000  2 Ge 2.89, 4 Se 2.91-2.92
Dy: 0.3378 0.3378 0.6694  1 Ge 2.85, 5 Se 2.86-2.91
Dy: 0.3404 0.3404 0.1711  5 Se 2.83-2.93, 1 Ge 2.84
Dy: 0.6596 0.6596 0.8289  5 Se 2.83-2.93, 1 Ge 2.84
Dy: 0.6622 0.6622 0.3306  1 Ge 2.85, 5 Se 2.86-2.91
Ge: 0.5000 0.5000 0.0000  6 Dy 2.84-2.89
Se: 0.1696 0.1696 0.3347  5 Dy 2.89-2.93
Se: 0.1695 0.1695 0.8359  5 Dy 2.89-2.93
Se: 0.5000 0.5000 0.5000  4 Dy 2.83-2.86
Se: 0.8305 0.8305 0.1641  5 Dy 2.89-2.93
Se: 0.8304 0.8304 0.6653  5 Dy 2.89-2.93

M_tot	0.000	μB per atom
ρ	7.3	g/cm3
formation energy without anion corrections	-39.89	kcal/mol of atoms

---

4.
Material: DyGeSe3
Method: DFT, PBE
State: relaxed

a = 7.3619 Å, b = 6.6849 Å, c = 10.8365 Å
α = 90.00°, β = 90.00°, γ = 90.00°
Closest atoms and distances in Å follow each position.
Fractional positions:
Dy: 0.1301 0.0824 0.0000  6 Se 2.82-2.90
Dy: 0.3699 0.5824 0.5000  6 Se 2.82-2.90
Dy: 0.6301 0.4176 0.0000  6 Se 2.82-2.90
Dy: 0.8699 0.9176 0.5000  6 Se 2.82-2.90
Ge: 0.1059 0.5567 0.1589  3 Se 2.44-2.68
Ge: 0.3941 0.0567 0.6589  3 Se 2.44-2.68
Ge: 0.6059 0.9433 0.1589  3 Se 2.44-2.68
Ge: 0.8941 0.4433 0.6589  3 Se 2.44-2.68
Se: 0.1229 0.7540 0.6760  2 Ge 2.68-2.85, 2 Dy 2.87-2.88
Se: 0.1242 0.2475 0.5249  2 Ge 2.59-2.77, 1 Dy 2.89
Se: 0.1448 0.7872 0.3318  1 Ge 2.44
Se: 0.3552 0.2872 0.8318  1 Ge 2.44
Se: 0.3758 0.7475 0.0249  2 Ge 2.59-2.77, 1 Dy 2.89
Se: 0.3771 0.2540 0.1760  2 Ge 2.68-2.85, 2 Dy 2.87-2.88
Se: 0.6229 0.7460 0.6760  2 Ge 2.68-2.85, 2 Dy 2.87-2.88
Se: 0.6242 0.2525 0.5249  2 Ge 2.59-2.77, 1 Dy 2.89
Se: 0.6448 0.7128 0.3318  1 Ge 2.44
Se: 0.8552 0.2128 0.8318  1 Ge 2.44
Se: 0.8758 0.7525 0.0249  2 Ge 2.59-2.77, 1 Dy 2.89
Se: 0.8771 0.2460 0.1760  2 Ge 2.68-2.85, 2 Dy 2.87-2.88

M_tot	0.000	μB per atom
ρ	5.9	g/cm3
energy relative to the lowest polymorph listed for this composition	69	meV per atom
formation energy without anion corrections	-21.49	kcal/mol of atoms

---

5.
Material: Dy5GeSe4
Method: DFT, PBE
State: relaxed

a = 7.1062 Å, b = 7.1062 Å, c = 7.1062 Å
α = 99.50°, β = 99.50°, γ = 132.06°
Closest atoms and distances in Å follow each position.
Fractional positions:
Dy: 0.0000 0.0000 0.0000  2 Ge 2.89, 4 Se 2.92
Dy: 0.2087 0.5981 0.8067  1 Ge 2.82, 5 Se 2.89-2.96
Dy: 0.4019 0.2087 0.6106  1 Ge 2.82, 5 Se 2.89-2.96
Dy: 0.5981 0.7913 0.3894  1 Ge 2.82, 5 Se 2.89-2.96
Dy: 0.7913 0.4019 0.1933  1 Ge 2.82, 5 Se 2.89-2.96
Ge: 0.5000 0.5000 0.0000  6 Dy 2.82-2.89
Se: 0.0978 0.3022 0.4000  6 Dy 2.89-2.96
Se: 0.3022 0.9022 0.2044  6 Dy 2.89-2.96
Se: 0.6978 0.0978 0.7956  6 Dy 2.89-2.96
Se: 0.9022 0.6978 0.6000  6 Dy 2.89-2.96

M_tot	0.000	μB per atom
ρ	8.2	g/cm3
formation energy without anion corrections	-38.14	kcal/mol of atoms

---

6.
Material: DyGeSe3
Method: DFT, PBE
State: relaxed

a = 6.8265 Å, b = 7.4422 Å, c = 11.9603 Å
α = 90.00°, β = 122.18°, γ = 90.00°
Closest atoms and distances in Å follow each position.
Fractional positions:
Dy: 0.1957 0.1233 0.2513  6 Se 2.91-3.04
Dy: 0.1957 0.3767 0.7513  6 Se 2.91-3.04
Dy: 0.8043 0.6233 0.2487  6 Se 2.91-3.04
Dy: 0.8043 0.8767 0.7487  6 Se 2.91-3.04
Ge: 0.1482 0.6071 0.0654  3 Se 2.38-2.40, 1 Ge 2.39
Ge: 0.1482 0.8929 0.5654  3 Se 2.38-2.40, 1 Ge 2.39
Ge: 0.8518 0.1071 0.4346  3 Se 2.38-2.40, 1 Ge 2.39
Ge: 0.8518 0.3929 0.9346  3 Se 2.38-2.40, 1 Ge 2.39
Se: 0.0903 0.1656 0.9246  1 Ge 2.40
Se: 0.0903 0.3344 0.4246  1 Ge 2.40
Se: 0.2729 0.6990 0.9228  1 Ge 2.38
Se: 0.2729 0.8010 0.4228  1 Ge 2.38
Se: 0.4296 0.0337 0.7662  1 Ge 2.38
Se: 0.4296 0.4663 0.2662  1 Ge 2.38
Se: 0.5704 0.5337 0.7338  1 Ge 2.38
Se: 0.5704 0.9663 0.2338  1 Ge 2.38
Se: 0.7271 0.1990 0.5772  1 Ge 2.38
Se: 0.7271 0.3010 0.0772  1 Ge 2.38
Se: 0.9097 0.6656 0.5754  1 Ge 2.40
Se: 0.9097 0.8344 0.0754  1 Ge 2.40

M_tot	0.000	μB per atom
ρ	6.1	g/cm3
energy relative to the lowest polymorph listed for this composition	0	meV per atom
formation energy without anion corrections	-23.07	kcal/mol of atoms